La2OsW (PBE, relaxed); energy of formation from the pure elements = 0.72 eV per atom; symmetry = P4/mmm (123); energy relative to the lowest polymorph listed for this composition = 554 meV/atom
1.0
-2.669 -0.390 -4.358
3.580 -3.129 -1.912
-1.750 -2.811 1.323
La Os W
2 1 1
direct
0.000 0.000 0.000
0.500 0.500 0.000
0.500 0.000 0.500
0.000 0.500 0.500


La2OsW (PBE, relaxed); energy of formation from the pure elements = 0.94 eV per atom; symmetry = I-42d (122); energy relative to the lowest polymorph listed for this composition = 779 meV/atom
1.0
8.152 0.000 0.000
0.000 8.152 0.000
4.076 4.076 2.898
Os W La
2 2 4
direct
0.000 0.000 0.000
0.750 0.250 0.500
0.500 0.500 0.000
0.250 0.750 0.500
0.658 0.125 0.250
0.092 0.625 0.250
0.375 0.342 0.750
0.875 0.908 0.750


La2OsW (PBE, relaxed); energy of formation from the pure elements = 0.77 eV per atom; symmetry = I-4m2 (119); energy relative to the lowest polymorph listed for this composition = 604 meV/atom
1.0
-1.888 0.399 5.515
-0.576 -4.908 3.119
4.050 2.524 -3.372
La Os W
2 1 1
direct
0.000 0.000 0.000
0.250 0.750 0.500
0.500 0.500 0.000
0.750 0.250 0.500